Computed, not measured: a relaxed ZnSbF5 crystal at the PBE level of DFT.

abc: 5.644 5.644 7.717
angles: 108.09 108.09 76.26
Atoms (fractional coordinates):
1 Zn 0.000 0.000 0.000
2 Zn 0.000 0.000 0.500
3 Sb 0.480 0.520 0.750
4 Sb 0.520 0.480 0.250
5 F 0.076 0.924 0.750
6 F 0.214 0.279 0.106
7 F 0.279 0.214 0.606
8 F 0.292 0.669 0.427
9 F 0.331 0.708 0.073
10 F 0.669 0.292 0.927
11 F 0.708 0.331 0.573
12 F 0.721 0.786 0.394
13 F 0.786 0.721 0.894
14 F 0.924 0.076 0.250

Values from the calculation:
Formation energy from raw total energies (kJ/mol of atoms): -222.1
Spin magnetization (μB per formula unit): 0.0
Volume (Å³ per cell): 219.4

=====

Computed, not measured: a relaxed Pm2P3RuRh4 crystal at the PBE level of DFT.

abc: 4.119 4.119 9.982
angles: 90.00 90.00 90.00
Atoms (fractional coordinates):
1 Pm 0.000 0.500 0.248
2 Pm 0.500 0.000 0.752
3 P 0.000 0.500 0.867
4 P 0.500 0.000 0.133
5 P 0.500 0.500 0.500
6 Ru 0.000 0.000 0.500
7 Rh 0.000 0.000 0.000
8 Rh 0.000 0.500 0.634
9 Rh 0.500 0.000 0.366
10 Rh 0.500 0.500 0.000

Values from the calculation:
Spin magnetization (μB per formula unit): 0.0
Formation energy from the elements (eV per atom): -0.868
Volume (Å³ per cell): 169.4

=====

Computed, not measured: a relaxed Li3HgO crystal at the PBE level of DFT.

abc: 4.047 4.047 4.047
angles: 90.00 90.00 90.00
Atoms (fractional coordinates):
1 Li 0.000 0.000 0.500
2 Li 0.000 0.500 0.000
3 Li 0.500 0.000 0.000
4 Hg 0.500 0.500 0.500
5 O 0.000 0.000 0.000

Values from the calculation:
Formation energy from raw total energies (kJ/mol of atoms): -101.8
Spin magnetization (μB per formula unit): 0.0
Volume (Å³ per cell): 66.3

=====

Computed, not measured: a relaxed Pm5Nd6Th crystal at the PBE level of DFT.

abc: 5.177 9.677 9.686
angles: 64.74 74.62 74.52
Atoms (fractional coordinates):
1 Pm 0.000 0.000 0.000
2 Pm 0.333 0.167 0.167
3 Pm 0.336 0.664 0.664
4 Pm 0.664 0.336 0.336
5 Pm 0.667 0.833 0.833
6 Nd 0.164 0.087 0.584
7 Nd 0.164 0.583 0.087
8 Nd 0.500 0.255 0.745
9 Nd 0.500 0.745 0.255
10 Nd 0.836 0.417 0.913
11 Nd 0.836 0.913 0.416
12 Th 0.000 0.500 0.500

Values from the calculation:
Spin magnetization (μB per formula unit): 0.0
Formation energy from the elements (eV per atom): 0.027
Volume (Å³ per cell): 416.4

=====

Computed, not measured: a relaxed Na3CoPb crystal at the PBE level of DFT.

abc: 5.364 5.364 5.364
angles: 90.00 90.00 90.00
Atoms (fractional coordinates):
1 Na 0.000 0.000 0.500
2 Na 0.000 0.500 0.000
3 Na 0.500 0.000 0.000
4 Co 0.000 0.000 0.000
5 Pb 0.500 0.500 0.500

Values from the calculation:
Spin magnetization (μB per formula unit): 1.9
Formation energy from the elements (eV per atom): 0.708
Volume (Å³ per cell): 154.3

=====

Computed, not measured: a relaxed HgPF2 crystal at the PBE level of DFT.

abc: 6.192 6.192 6.192
angles: 90.00 90.00 90.00
Atoms (fractional coordinates):
1 Hg 0.000 0.000 0.000
2 Hg 0.000 0.500 0.500
3 Hg 0.500 0.000 0.500
4 Hg 0.500 0.500 0.000
5 P 0.000 0.000 0.500
6 P 0.000 0.500 0.000
7 P 0.500 0.000 0.000
8 P 0.500 0.500 0.500
9 F 0.250 0.250 0.250
10 F 0.250 0.250 0.750
11 F 0.250 0.750 0.250
12 F 0.250 0.750 0.750
13 F 0.750 0.250 0.250
14 F 0.750 0.250 0.750
15 F 0.750 0.750 0.250
16 F 0.750 0.750 0.750

Values from the calculation:
Formation energy from raw total energies (kJ/mol of atoms): -22.3
Spin magnetization (μB per formula unit): 1.0
Volume (Å³ per cell): 237.4

=====

Computed, not measured: a relaxed CaPm5Y6 crystal at the PBE level of DFT.

abc: 8.100 8.100 6.287
angles: 97.40 97.40 84.45
Atoms (fractional coordinates):
1 Ca 0.000 0.000 0.000
2 Pm 0.170 0.830 0.500
3 Pm 0.338 0.662 0.000
4 Pm 0.500 0.500 0.500
5 Pm 0.662 0.338 0.000
6 Pm 0.830 0.170 0.500
7 Y 0.085 0.423 0.253
8 Y 0.252 0.252 0.744
9 Y 0.423 0.085 0.253
10 Y 0.577 0.915 0.747
11 Y 0.748 0.748 0.256
12 Y 0.915 0.577 0.747

Values from the calculation:
Spin magnetization (μB per formula unit): 0.0
Formation energy from the elements (eV per atom): 0.039
Volume (Å³ per cell): 404.3

=====

Computed, not measured: a relaxed AcIn crystal at the PBE level of DFT.

abc: 5.012 4.674 6.697
angles: 90.00 111.91 90.00
Atoms (fractional coordinates):
1 Ac 0.139 0.250 0.279
2 Ac 0.861 0.750 0.721
3 In 0.425 0.250 0.849
4 In 0.575 0.750 0.151

Values from the calculation:
Spin magnetization (μB per formula unit): 0.0
Formation energy from the elements (eV per atom): -0.430
Volume (Å³ per cell): 145.5

=====

Computed, not measured: a relaxed Ta2TePtW crystal at the PBE level of DFT.

abc: 4.866 4.866 5.061
angles: 90.00 90.00 90.00
Atoms (fractional coordinates):
1 Ta 0.000 0.500 0.000
2 Ta 0.500 0.000 0.000
3 Te 0.000 0.000 0.500
4 Pt 0.000 0.000 0.000
5 W 0.500 0.500 0.500

Values from the calculation:
Formation energy from raw total energies (kJ/mol of atoms): 175.1
Spin magnetization (μB per formula unit): 0.0
Volume (Å³ per cell): 119.8

=====

Computed, not measured: a relaxed Ba2ZrRu crystal at the PBE level of DFT.

abc: 3.638 3.638 32.345
angles: 90.00 90.00 120.00
Atoms (fractional coordinates):
1 Ba 0.000 0.000 0.237
2 Ba 0.000 0.000 0.763
3 Ba 0.333 0.667 0.430
4 Ba 0.333 0.667 0.903
5 Ba 0.667 0.333 0.097
6 Ba 0.667 0.333 0.570
7 Zr 0.000 0.000 0.000
8 Zr 0.333 0.667 0.667
9 Zr 0.667 0.333 0.333
10 Ru 0.000 0.000 0.500
11 Ru 0.333 0.667 0.167
12 Ru 0.667 0.333 0.833

Values from the calculation:
Spin magnetization (μB per formula unit): 2.4
Formation energy from the elements (eV per atom): 0.925
Volume (Å³ per cell): 370.8

=====

Computed, not measured: a relaxed ScTaIr2 crystal at the PBE level of DFT.

abc: 6.133 7.228 2.982
angles: 90.00 90.00 90.00
Atoms (fractional coordinates):
1 Sc 0.000 0.000 0.000
2 Sc 0.500 0.500 0.000
3 Ta 0.000 0.500 0.000
4 Ta 0.500 0.000 0.000
5 Ir 0.250 0.250 0.500
6 Ir 0.250 0.750 0.500
7 Ir 0.750 0.250 0.500
8 Ir 0.750 0.750 0.500

Values from the calculation:
Spin magnetization (μB per formula unit): 0.0
Formation energy from the elements (eV per atom): -0.729
Volume (Å³ per cell): 132.2

=====

Computed, not measured: a relaxed Mo2OsPd2 crystal at the PBE level of DFT.

abc: 3.649 3.649 12.579
angles: 90.00 90.00 90.00
Atoms (fractional coordinates):
1 Mo 0.000 0.000 0.090
2 Mo 0.000 0.000 0.910
3 Mo 0.500 0.500 0.410
4 Mo 0.500 0.500 0.590
5 Os 0.000 0.000 0.500
6 Os 0.500 0.500 0.000
7 Pd 0.000 0.500 0.250
8 Pd 0.000 0.500 0.750
9 Pd 0.500 0.000 0.250
10 Pd 0.500 0.000 0.750

Values from the calculation:
Spin magnetization (μB per formula unit): 0.0
Formation energy from the elements (eV per atom): 0.575
Volume (Å³ per cell): 167.5